1.
An optimized crystal structure of Co2OsW. Source: OQMD, functional PBE.

Crystal system: orthorhombic
Theoretical density, Mg/m³: 16.0
Energy relative to the lowest polymorph listed for this composition, eV per atom: 0.0273

abc: 4.223 5.287 5.287
angles: 120.19 90.00 90.00
Last column: magnetic moment on the atom in μB.
Element x y z (fractional)
Co (0.250, 0.322, 0.162)  0.39
Co (0.250, 0.846, 0.174)  0.07
Co (0.750, 0.162, 0.322)  0.37
Co (0.750, 0.174, 0.846)  0.07
Os (0.250, 0.843, 0.673)  0.02
Os (0.750, 0.673, 0.843)  0.01
W (0.750, 0.656, 0.324)  -0.05
W (0.250, 0.324, 0.656)  -0.06

=====

2.
An optimized crystal structure of CoOsW. Source: OQMD, functional PBE.

Crystal system: cubic
Theoretical density, Mg/m³: 15.7
Energy relative to the lowest polymorph listed for this composition, eV per atom: 0.0860

abc: 4.015 4.015 4.015
angles: 60.00 60.00 60.00
Element x y z (fractional)
Co (0.000, 0.000, 0.000)
Os (0.250, 0.250, 0.250)
W (0.750, 0.750, 0.750)

=====

3.
An optimized crystal structure of CoOs2W. Source: OQMD, functional PBE.

Crystal system: orthorhombic
Theoretical density, Mg/m³: 18.8
Energy relative to the lowest polymorph listed for this composition, eV per atom: 0.0000

abc: 5.402 5.402 4.334
angles: 90.00 90.00 119.65
Element x y z (fractional)
Co (0.335, 0.665, 0.250)
Co (0.665, 0.335, 0.750)
Os (0.337, 0.172, 0.250)
Os (0.828, 0.663, 0.250)
Os (0.172, 0.337, 0.750)
Os (0.663, 0.828, 0.750)
W (0.832, 0.168, 0.250)
W (0.168, 0.832, 0.750)

=====

4.
An optimized crystal structure of CoOs2W. Source: OQMD, functional PBE.

Crystal system: orthorhombic
Theoretical density, Mg/m³: 18.8
Energy relative to the lowest polymorph listed for this composition, eV per atom: 0.0487

abc: 4.298 5.435 5.435
angles: 60.24 90.00 90.00
Element x y z (fractional)
Co (0.000, 0.666, 0.161)
Co (0.000, 0.161, 0.666)
Os (0.000, 0.168, 0.168)
Os (0.500, 0.830, 0.328)
Os (0.500, 0.328, 0.830)
Os (0.500, 0.839, 0.839)
W (0.500, 0.337, 0.337)
W (0.000, 0.670, 0.670)

=====

5.
An optimized crystal structure of CoOs5W2. Source: OQMD, functional PBE.

Crystal system: orthorhombic
Theoretical density, Mg/m³: 20.0
Calculated total energy, eV per cell: -89.57

abc: 4.361 5.501 5.501
angles: 60.05 90.00 90.00
Element x y z (fractional)
Co (0.500, 0.165, 0.165)
Os (0.500, 0.666, 0.173)
Os (0.000, 0.841, 0.327)
Os (0.500, 0.173, 0.666)
Os (0.000, 0.833, 0.833)
Os (0.000, 0.327, 0.841)
W (0.000, 0.330, 0.330)
W (0.500, 0.664, 0.664)

=====

6.
An optimized crystal structure of Co5OsW2. Source: OQMD, functional PBE.

Crystal system: orthorhombic
Theoretical density, Mg/m³: 14.6
Calculated total energy, eV per cell: -73.13

abc: 4.146 5.196 5.196
angles: 60.11 90.00 90.00
Last column: magnetic moment on the atom in μB.
Element x y z (fractional)
Co (0.500, 0.162, 0.162)  0.45
Co (0.500, 0.673, 0.169)  0.13
Co (0.000, 0.839, 0.324)  0.19
Co (0.500, 0.169, 0.673)  0.15
Co (0.000, 0.324, 0.839)  0.18
Os (0.000, 0.840, 0.840)  0.01
W (0.000, 0.331, 0.331)  -0.08
W (0.500, 0.661, 0.661)  -0.07

=====

7.
An optimized crystal structure of Co2OsW. Source: OQMD, functional PBE.

Crystal system: orthorhombic
Theoretical density, Mg/m³: 16.0
Energy relative to the lowest polymorph listed for this composition, eV per atom: 0.0320

abc: 4.194 5.291 5.291
angles: 60.25 90.00 90.00
Last column: magnetic moment on the atom in μB.
Element x y z (fractional)
Co (0.500, 0.672, 0.158)  0.26
Co (0.500, 0.167, 0.167)  0.09
Co (0.500, 0.158, 0.672)  0.23
Co (0.000, 0.838, 0.838)  0.01
Os (0.000, 0.835, 0.322)  0.00
Os (0.000, 0.322, 0.835)  0.00
W (0.000, 0.333, 0.333)  -0.05
W (0.500, 0.673, 0.673)  -0.02

=====

8.
An optimized crystal structure of YCoOs2. Source: OQMD, functional PBE.

Crystal system: cubic
Theoretical density, Mg/m³: 13.7
Energy relative to the lowest polymorph listed for this composition, eV per atom: 0.0000

abc: 4.490 4.490 4.490
angles: 60.00 60.00 60.00
Last column: magnetic moment on the atom in μB.
Element x y z (fractional)
Co (0.750, 0.750, 0.750)  1.48
Os (0.000, 0.000, 0.000)  0.44
Os (0.250, 0.250, 0.250)  0.21
Y (0.500, 0.500, 0.500)  -0.06